(1)
Material: CsNa2SeI
Method: DFT, SCAN
State: PBEsol geometry

Formation energy without anion corrections in eV/atom: -1.08
Symmetry: P4/mmm (123)

a = 5.3546 Å, b = 5.3546 Å, c = 14.8005 Å
α = 90.00°, β = 90.00°, γ = 90.00°
Positions (direct):
Cs (0.5000, 0.5000, 0.5000)
I (0.0000, 0.0000, 0.5000)
Se (0.0000, 0.0000, 0.0000)
Na (0.5000, 0.0000, 0.0000)
Na (0.0000, 0.5000, 0.0000)

---

(2)
Material: FeCo5
Method: DFT, SCAN
State: PBEsol geometry

ΔH_f (0 K) in eV/f.u.: 0.1
Symmetry: P-1 (2)

a = 2.4144 Å, b = 4.7674 Å, c = 5.9111 Å
α = 97.39°, β = 101.06°, γ = 104.75°
Last column: magnetic moment on the atom in μB.
Positions (direct):
Co (0.5000, 0.0000, 0.0000)  1.82
Co (0.8774, 0.1765, 0.6551)  1.79
Co (0.2680, 0.3274, 0.3290)  1.81
Co (0.1226, 0.8235, 0.3449)  1.79
Co (0.7320, 0.6726, 0.6710)  1.81
Fe (0.5000, 0.5000, 0.0000)  2.79

---

(3)
Material: InIr2W
Method: DFT, SCAN
State: PBEsol geometry

ΔH_f (0 K) in eV/f.u.: -0.4
Symmetry: Pmmm (47)

a = 2.8396 Å, b = 3.7990 Å, c = 5.8167 Å
α = 90.00°, β = 90.00°, γ = 90.00°
Positions (direct):
Ir (0.0000, 0.0000, 0.2314)
Ir (0.0000, 0.0000, 0.7686)
In (0.5000, 0.5000, 0.5000)
W (0.5000, 0.5000, 0.0000)

---

(4)
Material: SrMgIn2
Method: DFT, SCAN
State: PBEsol geometry

ΔH_f (0 K) in eV/f.u.: -1.7
Symmetry: R-3m (166)

a = 4.8922 Å, b = 4.8922 Å, c = 6.2231 Å
α = 66.85°, β = 66.85°, γ = 60.00°
Positions (direct):
Sr (0.0000, 0.0000, 0.0000)
Mg (0.5000, 0.5000, 0.5000)
In (0.2185, 0.2185, 0.3444)
In (0.7815, 0.7815, 0.6556)

---

(5)
Material: LaSc3Pd
Method: DFT, SCAN
State: PBEsol geometry

Distance to the lowest polymorph of the same formula in kJ/mol of formula units: 0
ΔH_f (0 K) in eV/f.u.: -1.4
Symmetry: Pm-3m (221)

a = 5.0928 Å, b = 5.0928 Å, c = 5.0928 Å
α = 90.00°, β = 90.00°, γ = 90.00°
Positions (direct):
Sc (0.0000, 0.0000, 0.5000)
Sc (0.0000, 0.5000, 0.0000)
Sc (0.5000, 0.0000, 0.0000)
Pd (0.0000, 0.0000, 0.0000)
La (0.5000, 0.5000, 0.5000)

---

(6)
Material: CsBe2F5
Method: DFT, SCAN
State: PBEsol geometry

Formation energy without anion corrections in eV/atom: -3.40
Symmetry: P4_132 (213)

a = 7.8741 Å, b = 7.8741 Å, c = 7.8741 Å
α = 90.00°, β = 90.00°, γ = 90.00°
Last column: magnetic moment on the atom in μB.
Positions (direct):
F (0.2972, 0.1250, 0.0472)  0.00
F (0.8750, 0.5472, 0.2028)  0.00
F (0.2477, 0.2523, 0.7477)  0.06
F (0.5472, 0.2028, 0.8750)  0.00
F (0.4528, 0.7028, 0.6250)  0.00
F (0.7477, 0.2477, 0.2523)  0.06
F (0.0023, 0.4977, 0.5023)  0.06
F (0.7523, 0.7523, 0.7523)  0.06
F (0.2523, 0.7477, 0.2477)  0.06
F (0.2028, 0.8750, 0.5472)  0.00
F (0.4977, 0.5023, 0.0023)  0.06
F (0.5023, 0.0023, 0.4977)  0.06
F (0.9528, 0.7972, 0.3750)  0.00
F (0.9977, 0.9977, 0.9977)  0.06
F (0.1250, 0.0472, 0.2972)  0.00
F (0.0472, 0.2972, 0.1250)  0.00
F (0.3750, 0.9528, 0.7972)  0.00
F (0.7972, 0.3750, 0.9528)  0.00
F (0.7028, 0.6250, 0.4528)  0.00
F (0.6250, 0.4528, 0.7028)  0.00
Be (0.8928, 0.6072, 0.3928)  0.00
Be (0.1072, 0.1072, 0.1072)  0.00
Be (0.8572, 0.3572, 0.1428)  0.00
Be (0.3928, 0.8928, 0.6072)  0.00
Be (0.1428, 0.8572, 0.3572)  0.00
Be (0.6428, 0.6428, 0.6428)  0.00
Be (0.6072, 0.3928, 0.8928)  0.00
Be (0.3572, 0.1428, 0.8572)  0.00
Cs (0.8750, 0.1250, 0.6250)  0.00
Cs (0.3750, 0.3750, 0.3750)  0.00
Cs (0.1250, 0.6250, 0.8750)  0.00
Cs (0.6250, 0.8750, 0.1250)  0.00

---

(7)
Material: TlIn2Hg
Method: DFT, SCAN
State: PBEsol geometry

ΔH_f (0 K) in eV/f.u.: 0.2
Symmetry: R-3m (166)

a = 3.4296 Å, b = 3.4296 Å, c = 10.1930 Å
α = 80.31°, β = 80.31°, γ = 60.00°
Positions (direct):
In (0.7453, 0.7453, 0.7642)
In (0.2547, 0.2547, 0.2358)
Tl (0.5000, 0.5000, 0.5000)
Hg (0.0000, 0.0000, 0.0000)

---

(8)
Material: CaBeSCl2
Method: DFT, SCAN
State: PBEsol geometry

Formation energy without anion corrections in eV/atom: -1.49
Symmetry: P4/mmm (123)

a = 4.3893 Å, b = 4.3893 Å, c = 4.7247 Å
α = 90.00°, β = 90.00°, γ = 90.00°
Positions (direct):
S (0.0000, 0.0000, 0.5000)
Ca (0.5000, 0.5000, 0.5000)
Cl (0.5000, 0.0000, 0.0000)
Cl (0.0000, 0.5000, 0.0000)
Be (0.0000, 0.0000, 0.0000)

---

| no. | E (Ry/atom) |
| --- | --- |
| 1 | -1.59414 |
| 2 | -1.28100 |
| 3 | -4.51439 |
| 4 | -1.75930 |
| 5 | -1.76411 |
| 6 | -0.84018 |
| 7 | -3.80573 |
| 8 | -0.69136 |